PBE-GGA Be3VCl, relaxed; space-group type = Pm-3m (221); theoretical density = 2.8 g cm⁻³; energy relative to the lowest polymorph listed for this composition = 0 meV/atom; crystal system = cubic; E_form (uncorrected) = 1238 meV/atom; calculated volume = 67.7 Å³/cell
1.0
-1.794 -0.923 3.542
-0.533 -3.836 -1.270
3.621 -1.022 1.568
Be V Cl
3 1 1
Direct
0.000 0.500 0.000
0.000 0.000 0.500
0.500 0.000 0.000
0.500 0.500 0.500
0.000 0.000 0.000



PBE-GGA MoPb2Br, relaxed; space-group type = F-43m (216); theoretical density = 9.2 g cm⁻³; energy relative to the lowest polymorph listed for this composition = 490 meV/atom; crystal system = cubic; E_form (uncorrected) = 740 meV/atom; calculated volume = 106.1 Å³/cell
1.0
-1.194 -3.233 -4.045
3.884 -2.124 -2.940
1.058 -5.196 0.350
Pb Mo Br
2 1 1
Direct
0.000 0.000 0.000
0.250 0.250 0.250
0.750 0.750 0.750
0.500 0.500 0.500



PBE-GGA Sn3Ge, relaxed; space-group type = Fm-3m (225); theoretical density = 7.0 g cm⁻³; crystal system = cubic; DFT formation energy = 0.159 eV/atom; calculated volume = 101.9 Å³/cell
1.0
-1.385 3.834 3.298
-4.561 2.503 -0.656
-3.918 -0.756 3.401
Sn Ge
3 1
Direct
0.250 0.250 0.250
0.750 0.750 0.750
0.500 0.500 0.500
0.000 0.000 0.000



PBE-GGA Si2PAu, relaxed; space-group type = R-3m (166); theoretical density = 7.2 g cm⁻³; crystal system = trigonal; E_form (uncorrected) = 71 meV/atom; calculated volume = 65.5 Å³/cell
1.0
6.670 -0.014 -0.008
5.786 3.318 -0.008
5.786 1.535 2.942
Au P Si
1 1 2
Direct
0.250 0.250 0.250
0.750 0.750 0.750
0.007 0.007 0.007
0.493 0.493 0.493



PBE-GGA Mo4Se2S3, relaxed; space-group type = C2/c (15); theoretical density = 5.0 g cm⁻³; crystal system = monoclinic; E_form (uncorrected) = -417 meV/atom; calculated volume = 425.6 Å³/cell
1.0
-2.267 -4.151 -3.487
8.455 -1.889 -2.123
-2.697 -3.919 7.546
Mo Se S
8 4 6
Direct
0.633 0.147 0.071
0.867 0.929 0.853
0.367 0.853 0.929
0.133 0.071 0.147
0.957 0.360 0.313
0.543 0.687 0.640
0.043 0.640 0.687
0.457 0.313 0.360
0.606 0.453 0.182
0.894 0.818 0.547
0.394 0.547 0.818
0.106 0.182 0.453
0.016 0.238 0.015
0.484 0.985 0.762
0.984 0.762 0.985
0.516 0.015 0.238
0.750 0.429 0.571
0.250 0.571 0.429



PBE-GGA TaSiTe2, relaxed; space-group type = Amm2 (38); theoretical density = 8.6 g cm⁻³; crystal system = orthorhombic; E_form (uncorrected) = 174 meV/atom; calculated volume = 89.7 Å³/cell
1.0
4.645 0.000 0.000
0.000 3.882 0.003
0.000 1.939 4.979
Si Ta Te
1 1 2
Direct
0.000 0.685 0.504
0.500 0.568 0.739
0.000 0.971 0.933
0.500 0.276 0.325



PBE-GGA CaHfTe2N, relaxed; space-group type = P4/mmm (123); theoretical density = 6.0 g cm⁻³; energy relative to the lowest polymorph listed for this composition = 0 meV/atom; crystal system = tetragonal; E_form (uncorrected) = -679 meV/atom; calculated volume = 134.8 Å³/cell
1.0
5.780 0.000 0.000
0.000 5.780 0.000
0.000 0.000 4.034
Ca Te Hf N
1 2 1 1
Direct
0.500 0.500 0.500
0.000 0.500 0.000
0.500 0.000 0.000
0.000 0.000 0.000
0.000 0.000 0.500



PBE-GGA Ca2HfZnPd, relaxed; space-group type = P4/mmm (123); theoretical density = 4.2 g cm⁻³; crystal system = tetragonal; DFT formation energy = 0.737 eV/atom; calculated volume = 168.6 Å³/cell
1.0
-1.349 5.544 1.643
-0.844 -1.526 4.455
5.686 0.966 1.408
Zn Hf Ca Pd
1 1 2 1
Direct
0.500 0.500 0.500
0.000 0.000 0.000
0.000 0.000 0.500
0.500 0.000 0.000
0.000 0.500 0.000



PBE-GGA La2Br3F, relaxed; space-group type = C2/m (12); theoretical density = 4.9 g cm⁻³; crystal system = monoclinic; E_form (uncorrected) = -2131 meV/atom; calculated volume = 360.8 Å³/cell
1.0
6.126 0.000 0.000
3.063 6.582 1.578
3.063 4.043 9.918
La Br F
4 6 2
Direct
0.874 0.301 0.951
0.126 0.699 0.049
0.550 0.193 0.706
0.450 0.807 0.294
0.058 0.173 0.711
0.942 0.827 0.289
0.640 0.665 0.056
0.360 0.335 0.944
0.772 0.795 0.662
0.228 0.205 0.338
0.587 0.390 0.437
0.413 0.610 0.563



PBE-GGA LaPrY5, relaxed; space-group type = C2/c (15); theoretical density = 5.0 g cm⁻³; energy relative to the lowest polymorph listed for this composition = 86 meV/atom; crystal system = monoclinic; DFT formation energy = 0.180 eV/atom; calculated volume = 481.7 Å³/cell
1.0
-6.930 5.546 1.392
-8.719 0.200 -2.159
-11.413 -0.733 6.855
La Pr Y
2 2 10
Direct
0.761 0.239 0.250
0.239 0.761 0.750
0.000 0.000 0.000
0.000 0.000 0.500
0.742 0.751 0.089
0.333 0.335 0.590
0.751 0.742 0.589
0.241 0.759 0.250
0.665 0.667 0.910
0.335 0.333 0.090
0.759 0.241 0.750
0.249 0.258 0.411
0.667 0.665 0.410
0.258 0.249 0.911



PBE-GGA SbPd5Pt, relaxed; space-group type = P4/mmm (123); theoretical density = 11.5 g cm⁻³; crystal system = tetragonal; E_form (uncorrected) = -55 meV/atom; calculated volume = 122.4 Å³/cell
1.0
4.106 0.000 0.000
0.000 4.106 0.000
0.000 0.000 7.258
Sb Pd Pt
1 5 1
Direct
0.000 0.000 0.000
0.500 0.500 0.000
0.500 0.000 0.266
0.000 0.500 0.266
0.500 0.000 0.734
0.000 0.500 0.734
0.000 0.000 0.500



PBE-GGA Sm2ScAl3, relaxed; space-group type = Cmcm (63); theoretical density = 4.7 g cm⁻³; energy relative to the lowest polymorph listed for this composition = 273 meV/atom; crystal system = orthorhombic; DFT formation energy = -0.161 eV/atom; calculated volume = 300.0 Å³/cell
1.0
5.151 0.000 0.000
0.000 7.694 0.556
0.000 -2.116 7.418
Sm Sc Al
4 2 6
Direct
0.750 0.572 0.849
0.250 0.151 0.428
0.250 0.428 0.151
0.750 0.849 0.572
0.250 0.895 0.895
0.750 0.105 0.105
0.000 0.200 0.800
0.500 0.200 0.800
0.250 0.581 0.581
0.750 0.419 0.419
0.500 0.800 0.200
0.000 0.800 0.200



PBE-GGA Mn2AsBr, relaxed; space-group type = F-43m (216); theoretical density = 5.7 g cm⁻³; energy relative to the lowest polymorph listed for this composition = 840 meV/atom; crystal system = cubic; E_form (uncorrected) = 766 meV/atom; calculated volume = 77.0 Å³/cell
1.0
-3.474 2.550 2.057
-4.327 0.198 -2.010
-3.693 -2.220 2.058
As Br Mn
1 1 2
Direct
0.500 0.500 0.500
0.750 0.750 0.750
0.000 0.000 0.000
0.250 0.250 0.250



PBE-GGA Pa2OsPt, relaxed; space-group type = P4/mmm (123); theoretical density = 17.6 g cm⁻³; energy relative to the lowest polymorph listed for this composition = 164 meV/atom; crystal system = tetragonal; DFT formation energy = -0.446 eV/atom; calculated volume = 80.1 Å³/cell
1.0
-1.340 1.959 3.457
-1.480 -3.797 1.578
3.868 -0.716 1.905
Pa Os Pt
2 1 1
Direct
0.000 0.000 0.500
0.000 0.500 0.000
0.500 0.500 0.500
0.500 0.000 0.000



PBE-GGA TaTlPdO4, relaxed; space-group type = Imma (74); theoretical density = 8.5 g cm⁻³; crystal system = orthorhombic; E_form (uncorrected) = -1512 meV/atom; calculated volume = 217.4 Å³/cell
1.0
-5.150 2.683 -1.505
0.910 -6.610 -2.943
-1.728 -0.005 5.902
Ta Tl Pd O
2 2 2 8
Direct
0.500 0.000 0.500
0.500 0.000 0.000
0.829 0.659 0.079
0.171 0.341 0.921
0.500 0.500 0.500
0.000 0.500 0.500
0.674 0.348 0.625
0.275 0.974 0.237
0.699 0.974 0.237
0.674 0.348 0.223
0.326 0.652 0.777
0.725 0.026 0.763
0.301 0.026 0.763
0.326 0.652 0.375



PBE-GGA CrIrRu, relaxed; space-group type = I4mm (107); theoretical density = 14.2 g cm⁻³; energy relative to the lowest polymorph listed for this composition = 0 meV/atom; crystal system = tetragonal; DFT formation energy = -0.027 eV/atom; calculated volume = 40.4 Å³/cell
1.0
-2.704 -5.115 -1.132
1.058 -5.643 -1.337
0.863 4.948 3.086
Cr Ir Ru
1 1 1
Direct
0.001 0.001 0.000
0.340 0.340 0.000
0.659 0.659 0.000



PBE-GGA TlTe3Cl, relaxed; space-group type = Pm-3m (221); theoretical density = 6.1 g cm⁻³; energy relative to the lowest polymorph listed for this composition = 0 meV/atom; crystal system = cubic; E_form (uncorrected) = 375 meV/atom; calculated volume = 169.3 Å³/cell
1.0
5.532 0.000 0.000
0.000 5.532 0.000
0.000 0.000 5.532
Tl Te Cl
1 3 1
Direct
0.500 0.500 0.500
0.000 0.500 0.000
0.000 0.000 0.500
0.500 0.000 0.000
0.000 0.000 0.000



PBE-GGA NiMoSe2N, relaxed; space-group type = P4/mmm (123); theoretical density = 5.7 g cm⁻³; energy relative to the lowest polymorph listed for this composition = 0 meV/atom; crystal system = tetragonal; E_form (uncorrected) = 562 meV/atom; calculated volume = 95.2 Å³/cell
1.0
5.034 0.000 0.000
0.000 5.034 0.000
0.000 0.000 3.758
Ni Mo Se N
1 1 2 1
Direct
0.500 0.500 0.500
0.000 0.000 0.000
0.000 0.500 0.000
0.500 0.000 0.000
0.000 0.000 0.500



PBE-GGA Mg2Tc, relaxed; space-group type = R32 (155); theoretical density = 4.7 g cm⁻³; energy relative to the lowest polymorph listed for this composition = 232 meV/atom; crystal system = trigonal; DFT formation energy = 0.237 eV/atom; calculated volume = 103.4 Å³/cell
1.0
4.981 -2.502 -0.002
4.981 2.502 -0.002
3.726 0.000 4.146
Mg Tc
4 2
Direct
0.000 0.676 0.324
0.324 0.000 0.676
0.676 0.324 0.000
0.500 0.500 0.500
0.830 0.830 0.830
0.170 0.170 0.170



PBE-GGA Li3InPd4, relaxed; space-group type = C2/m (12); theoretical density = 7.9 g cm⁻³; energy relative to the lowest polymorph listed for this composition = 0 meV/atom; crystal system = monoclinic; DFT formation energy = -0.523 eV/atom; calculated volume = 117.4 Å³/cell
1.0
4.201 -0.006 -1.135
-0.307 4.195 -1.117
-0.394 -0.450 6.896
In Pd Li
1 4 3
Direct
0.500 0.000 0.000
0.367 0.367 0.734
0.633 0.633 0.266
0.133 0.133 0.266
0.867 0.867 0.734
0.000 0.500 0.000
0.753 0.252 0.506
0.247 0.748 0.494



PBE-GGA SmTlPt, relaxed; space-group type = P-6m2 (187); theoretical density = 12.8 g cm⁻³; crystal system = hexagonal; DFT formation energy = -0.631 eV/atom; calculated volume = 71.5 Å³/cell
1.0
-1.473 -2.412 -2.252
4.341 -1.083 -1.680
-1.784 -2.394 3.732
Tl Sm Pt
1 1 1
Direct
0.167 0.333 0.667
0.667 0.667 0.333
0.166 0.000 0.000



PBE-GGA AcTbCd6, relaxed; space-group type = Amm2 (38); theoretical density = 8.4 g cm⁻³; energy relative to the lowest polymorph listed for this composition = 0 meV/atom; crystal system = orthorhombic; DFT formation energy = -0.256 eV/atom; calculated volume = 209.7 Å³/cell
1.0
-2.034 2.566 3.742
-2.894 -5.695 2.332
6.194 1.220 2.530
Ac Tb Cd
1 1 6
Direct
0.500 0.388 0.612
0.000 0.108 0.892
0.000 0.042 0.367
0.000 0.633 0.958
0.000 0.589 0.411
0.500 0.439 0.128
0.500 0.872 0.561
0.500 0.928 0.072



PBE-GGA CaWBr2, relaxed; space-group type = Immm (71); theoretical density = 5.4 g cm⁻³; energy relative to the lowest polymorph listed for this composition = 124 meV/atom; crystal system = orthorhombic; E_form (uncorrected) = 48 meV/atom; calculated volume = 119.0 Å³/cell
1.0
-5.620 4.212 -2.526
-4.439 -0.726 -5.956
2.972 -2.368 6.423
Ca Br W
1 2 1
Direct
0.750 0.250 0.500
0.107 0.107 0.000
0.393 0.393 0.000
0.250 0.750 0.500



PBE-GGA ErMnH, relaxed; space-group type = Cmcm (63); theoretical density = 9.0 g cm⁻³; crystal system = orthorhombic; E = -5.62 eV/atom; calculated volume = 82.2 Å³/cell
1.0
-0.440 -1.393 -2.675
2.401 -2.240 0.772
-5.277 -4.034 4.705
H Mn Er
2 2 2
Direct
0.451 0.250 0.902
0.549 0.750 0.098
0.755 0.250 0.511
0.245 0.750 0.489
0.903 0.750 0.806
0.097 0.250 0.194



PBE-GGA DyTlNi, relaxed; space-group type = C2/m (12); theoretical density = 10.9 g cm⁻³; crystal system = monoclinic; DFT formation energy = -0.312 eV/atom; calculated volume = 129.6 Å³/cell
1.0
4.164 0.000 0.000
0.000 5.166 0.010
-2.082 -1.105 6.025
Ni Tl Dy
2 2 2
Direct
0.775 0.148 0.550
0.225 0.852 0.450
0.582 0.784 0.164
0.418 0.216 0.836
0.863 0.690 0.726
0.137 0.310 0.274



PBE-GGA PaInHgBi, relaxed; space-group type = Pmmm (47); theoretical density = 12.1 g cm⁻³; energy relative to the lowest polymorph listed for this composition = 0 meV/atom; crystal system = orthorhombic; DFT formation energy = -0.117 eV/atom; calculated volume = 103.8 Å³/cell
1.0
-2.838 -2.357 -2.742
3.198 -0.149 -3.181
1.709 -4.291 1.919
Pa In Hg Bi
1 1 1 1
Direct
0.000 0.500 0.500
0.000 0.000 0.000
0.500 0.500 0.000
0.500 0.000 0.500